# Sr2LaSe | the Alexandria database | PBE | relaxed
data_Sr2LaSe
_symmetry_space_group_name_H-M 'P 1'
_symmetry_Int_Tables_number 1
_symmetry_space_group_name_Hall 'P 1'
_cell_length_a 3.8575
_cell_length_b 3.8575
_cell_length_c 10.3293
_cell_angle_alpha 90.00
_cell_angle_beta 90.00
_cell_angle_gamma 90.00
loop_
_atom_site_label
_atom_site_type_symbol
_atom_site_fract_x
_atom_site_fract_y
_atom_site_fract_z
Sr1 Sr 0.0000 0.0000 0.0000
Sr2 Sr 0.5000 0.5000 0.3295
La1 La 0.0000 0.0000 0.6479
Se1 Se 0.5000 0.5000 0.8041
# Uncorrected formation energy (eV per atom): -0.752
# V (A^3/atom): 38.43
# VASP energy (eV/cell): -14.8
# Space-group type: P4mm, No. 99
# ρ (g/cm³): 4.2